## SrHfFe2Se (PBE-GGA)

Data for crystalline SrHfFe2Se at its relaxed geometry.

Cell: 4.5628 5.4553 4.5628 Å, 90.00 90.00 90.00°
Fractional positions:
Sr: 0.0000 0.5000 0.0000
Hf: 0.5000 0.5000 0.5000
Fe: 0.0000 0.0000 0.5000
Fe: 0.5000 0.0000 0.0000
Se: 0.0000 0.0000 0.0000

Output
Fermi-level density of states, states/eV/atom: 1.1565
Raw formation energy, eV/atom: 0.748
Total DFT energy (no corrections), eV/atom: -5.661